Below is an optimized crystal structure of SbWF3, with properties calculated at the PBE with a Hubbard U level.

VASP energy   -4.006 eV per atom
Magnetic moment   0.0 μB/cell
Relative energy among the computed polymorphs   103 meV/atom
Density of states at the Fermi level   8.40 states/eV/f.u.

Geometry as POSCAR:
```
SbWF3
1.0
-3.8836 -0.9419 1.5780
1.8047 -1.2586 3.6903
-0.3467 3.9986 1.5332
Sb W F
1 1 3
direct
0.5000 0.5000 0.5000
0.0000 0.0000 0.0000
0.0000 0.5000 0.0000
0.0000 0.0000 0.5000
0.5000 0.0000 0.0000
```